! NpPt4, optimized geometry, DFT PBE; values from VASP
&SYSTEM
  ibrav = 0, nat = 5, ntyp = 2
/
ATOMIC_SPECIES
Np 237.00 Np.upf
Pt 195.08 Pt.upf
CELL_PARAMETERS angstrom
4.963 0.000 0.000
0.000 4.963 0.000
0.000 0.000 4.963
ATOMIC_POSITIONS angstrom
Np 0.000 0.000 0.000
Pt 0.000 0.000 2.481
Pt 0.000 2.481 0.000
Pt 2.481 0.000 0.000
Pt 2.481 2.481 2.481
! E_form: 1.262 eV/atom
! Density of states at the Fermi level: 1.880 states/eV/atom